No. 1
Entry from Alexandria via LeMat-Bulk: crystalline Th2PbAu3 at its relaxed geometry (PBE).

Computed properties:
**ΔE_f**: -0.439 eV per atom
**D(E_F)**: 1.02 states/eV per atom
**Total magnetization**: 0.0 μB per formula unit

Cell lengths 3.580, 4.694, 18.912 Å; angles 90.00, 90.00, 90.00 degrees
Space group Imm2 (No. 44)
Asymmetric unit:
1 Th 0.000 0.000 0.000 [2 per cell]
2 Th 0.000 0.500 0.210 [2 per cell]
3 Pb 0.000 0.000 0.405 [2 per cell]
4 Au 0.000 0.000 0.565 [2 per cell]
5 Au 0.000 0.500 0.642 [2 per cell]
6 Au 0.000 0.500 0.787 [2 per cell]



No. 2
Entry from Alexandria via LeMat-Bulk: crystalline Tb2ThBi at its relaxed geometry (PBE).

Computed properties:
**ΔE_f**: -0.363 eV per atom
**D(E_F)**: 1.03 states/eV per atom
**Total magnetization**: 0.0 μB per formula unit

Cell lengths 3.987, 3.987, 7.545 Å; angles 90.00, 90.00, 90.00 degrees
Space group P4/mmm (No. 123)
Asymmetric unit:
1 Tb 0.000 0.000 0.225 [2 per cell]
2 Th 0.500 0.500 0.500 [1 per cell]
3 Bi 0.500 0.500 0.000 [1 per cell]



No. 3
Entry from Alexandria via LeMat-Bulk: crystalline TaAs2SeBr at its relaxed geometry (PBE).

Computed properties:
**D(E_F)**: 0.84 states/eV per atom
**E_form (uncorrected)**: 0.381 eV/atom
**Total magnetization**: 0.0 μB per formula unit

Cell lengths 5.097, 5.097, 4.908 Å; angles 90.00, 90.00, 90.00 degrees
Space group P4/mmm (No. 123)
Asymmetric unit:
1 Ta 0.000 0.000 0.000 [1 per cell]
2 As 0.000 0.500 0.000 [2 per cell]
3 Se 0.500 0.500 0.500 [1 per cell]
4 Br 0.000 0.000 0.500 [1 per cell]



No. 4
Entry from Alexandria via LeMat-Bulk: crystalline La2InPN at its relaxed geometry (PBE).

Computed properties:
**D(E_F)**: 0.57 states/eV per atom
**E_form (uncorrected)**: -0.599 eV/atom
**Total magnetization**: 0.0 μB per formula unit

Cell lengths 5.339, 5.339, 3.871 Å; angles 90.00, 90.00, 90.00 degrees
Space group P4/mmm (No. 123)
Asymmetric unit:
1 La 0.000 0.500 0.000 [2 per cell]
2 In 0.000 0.000 0.500 [1 per cell]
3 P 0.500 0.500 0.500 [1 per cell]
4 N 0.500 0.500 0.000 [1 per cell]



No. 5
Entry from Alexandria via LeMat-Bulk: crystalline Rb2LiMn at its relaxed geometry (PBE).

Computed properties:
**ΔE_f**: 0.817 eV per atom
**D(E_F)**: 1.40 states/eV per atom
**Total magnetization**: 4.3 μB per formula unit

Cell lengths 10.150, 10.150, 7.230 Å; angles 90.00, 90.00, 90.00 degrees
Space group I-42d (No. 122)
Asymmetric unit:
1 Rb 0.250 0.250 0.125 [8 per cell]
2 Li 0.000 0.000 0.000 [4 per cell]
3 Mn 0.000 0.000 0.500 [4 per cell]



No. 6
Entry from Alexandria via LeMat-Bulk: crystalline Rb2BeF7 at its relaxed geometry (PBE).

Computed properties:
**D(E_F)**: 0.74 states/eV per atom
**E_form (uncorrected)**: -2.033 eV/atom
**Total magnetization**: 1.1 μB per formula unit

Cell lengths 6.281, 6.281, 8.196 Å; angles 90.00, 90.00, 90.00 degrees
Space group I4/mmm (No. 139)
Asymmetric unit:
1 Rb 0.000 0.500 0.250 [4 per cell]
2 Be 0.000 0.000 0.000 [2 per cell]
3 F 0.000 0.000 0.289 [4 per cell]
4 F 0.000 0.000 0.500 [2 per cell]
5 F 0.181 0.181 0.000 [8 per cell]



No. 7
Entry from Alexandria via LeMat-Bulk: crystalline ScP2Rh at its relaxed geometry (PBE).

Computed properties:
**ΔE_f**: -0.556 eV per atom
**D(E_F)**: 1.19 states/eV per atom
**Total magnetization**: 0.0 μB per formula unit

Cell lengths 6.236, 6.236, 6.236 Å; angles 90.00, 90.00, 90.00 degrees
Space group Fm-3m (No. 225)
Asymmetric unit:
1 Sc 0.000 0.000 0.000 [4 per cell]
2 P 0.250 0.250 0.250 [8 per cell]
3 Rh 0.000 0.000 0.500 [4 per cell]



No. 8
Entry from Alexandria via LeMat-Bulk: crystalline BiAsRu2 at its relaxed geometry (PBE).

Computed properties:
**ΔE_f**: 0.355 eV per atom
**D(E_F)**: 1.17 states/eV per atom
**Total magnetization**: 0.0 μB per formula unit

Cell lengths 6.504, 6.504, 6.504 Å; angles 90.00, 90.00, 90.00 degrees
Space group Fm-3m (No. 225)
Asymmetric unit:
1 Bi 0.000 0.000 0.000 [4 per cell]
2 As 0.000 0.000 0.500 [4 per cell]
3 Ru 0.250 0.250 0.250 [8 per cell]